Entry 1:
Below is TlHgF3 after structural relaxation, with properties calculated at the PBE level. Values from VASP.

Results
Its space group is No. 119. The value obtained for the energy relative to the elements, uncorrected is -1226 meV/atom.

```
&SYSTEM
  ibrav = 0, nat = 10, ntyp = 3
/
ATOMIC_SPECIES
Tl 204.38 Tl.upf
Hg 200.59 Hg.upf
F 19.00 F.upf
CELL_PARAMETERS angstrom
-2.473 2.473 7.727
2.473 -2.473 7.727
2.473 2.473 -7.727
ATOMIC_POSITIONS angstrom
Tl 0.000 0.000 0.000
Tl 0.000 2.473 3.863
Hg 2.473 0.000 1.789
Hg 2.473 0.000 5.937
F 0.000 0.000 4.641
F 0.000 1.240 2.062
F 0.000 0.000 10.813
F -1.232 2.473 5.664
F 1.232 2.473 5.664
F 0.000 3.705 2.062
```


Entry 2:
Below is Cu2HgIO6 after structural relaxation, with properties calculated at the PBE level. Values from VASP.

Results
Its space group is No. 15. The value obtained for the energy relative to the elements, uncorrected is -297 meV/atom.

```
&SYSTEM
  ibrav = 0, nat = 20, ntyp = 4
/
ATOMIC_SPECIES
Cu 63.55 Cu.upf
Hg 200.59 Hg.upf
I 126.90 I.upf
O 16.00 O.upf
CELL_PARAMETERS angstrom
4.796 -4.862 0.000
4.796 4.862 0.000
-0.491 0.000 5.654
ATOMIC_POSITIONS angstrom
Cu 1.512 0.934 1.702
Cu 1.266 -0.934 4.529
Cu 7.834 0.934 1.125
Cu 7.589 -0.934 3.951
Hg 4.427 0.804 4.240
Hg 4.673 -0.804 1.413
I 4.673 2.716 1.413
I 4.427 -2.716 4.240
O 0.912 0.797 3.603
O 3.358 2.633 5.310
O 1.158 -0.797 0.776
O 3.447 1.223 2.028
O 5.497 2.633 3.170
O 5.899 1.223 0.799
O 3.201 -1.223 4.854
O 3.604 -2.633 2.484
O 5.654 -1.223 3.626
O 7.943 0.797 4.878
O 5.742 -2.633 0.343
O 8.188 -0.797 2.051
```


Entry 3:
Below is La5NdTl6 after structural relaxation, with properties calculated at the PBE level. Values from VASP.

Results
Its space group is No. 65.

```
&SYSTEM
  ibrav = 0, nat = 12, ntyp = 3
/
ATOMIC_SPECIES
La 138.91 La.upf
Nd 144.24 Nd.upf
Tl 204.38 Tl.upf
CELL_PARAMETERS angstrom
2.820 -8.467 0.000
2.820 8.467 0.000
0.000 0.000 7.883
ATOMIC_POSITIONS angstrom
La 0.000 0.000 0.000
La 2.820 2.862 0.000
La 2.820 2.819 3.941
La 2.820 -2.819 3.941
La 2.820 -2.862 0.000
Nd 0.000 0.000 3.941
Tl 2.820 5.682 1.997
Tl 2.820 5.682 5.885
Tl 2.820 0.000 1.985
Tl 2.820 0.000 5.898
Tl 2.820 -5.682 1.997
Tl 2.820 -5.682 5.885
```


Entry 4:
Below is AlNiP2 after structural relaxation, with properties calculated at the PBE level. Values from VASP.

Results
Its space group is No. 65.

```
&SYSTEM
  ibrav = 0, nat = 4, ntyp = 3
/
ATOMIC_SPECIES
Al 26.98 Al.upf
Ni 58.69 Ni.upf
P 30.97 P.upf
CELL_PARAMETERS angstrom
1.917 -2.137 0.000
1.917 2.137 0.000
0.000 0.000 6.634
ATOMIC_POSITIONS angstrom
Al 0.000 0.000 0.000
Ni 0.000 0.000 3.317
P 1.917 0.000 1.843
P 1.917 0.000 4.791
```


Entry 5:
Below is NpVIr2 after structural relaxation, with properties calculated at the PBE level. Values from VASP.

Results
Its space group is No. 123. The calculation puts the polymorph energy (0 for the lowest one) at 0.22 eV per formula unit.

```
&SYSTEM
  ibrav = 0, nat = 4, ntyp = 3
/
ATOMIC_SPECIES
Np 237.00 Np.upf
V 50.94 V.upf
Ir 192.22 Ir.upf
CELL_PARAMETERS angstrom
4.054 0.000 0.000
0.000 4.054 0.000
0.000 0.000 3.955
ATOMIC_POSITIONS angstrom
Np 0.000 0.000 0.000
V 2.027 2.027 0.000
Ir 0.000 2.027 1.978
Ir 2.027 0.000 1.978
```


Entry 6:
Below is Sm2Y3Tm4 after structural relaxation, with properties calculated at the PBE level. Values from VASP.

Results
Its space group is No. 15.

```
&SYSTEM
  ibrav = 0, nat = 18, ntyp = 3
/
ATOMIC_SPECIES
Sm 150.36 Sm.upf
Y 88.91 Y.upf
Tm 168.93 Tm.upf
CELL_PARAMETERS angstrom
8.300 -5.777 0.000
8.300 5.777 0.000
-0.725 0.000 5.933
ATOMIC_POSITIONS angstrom
Sm 6.025 4.468 4.278
Sm 9.488 4.468 4.621
Sm 6.387 -4.468 1.312
Sm 9.850 -4.468 1.655
Y 8.119 4.035 1.483
Y 5.272 1.749 2.454
Y 4.910 -1.749 5.420
Y 10.966 1.749 0.512
Y 10.603 -1.749 3.479
Y 7.756 -4.035 4.450
Tm 3.227 1.257 5.185
Tm 6.589 1.240 5.665
Tm 3.589 -1.257 2.218
Tm 8.924 1.240 3.234
Tm 6.951 -1.240 2.699
Tm 12.286 1.257 3.715
Tm 9.286 -1.240 0.268
Tm 12.648 -1.257 0.748
```


Entry 7:
Below is V2FeCo after structural relaxation, with properties calculated at the PBE level. Values from VASP.

Results
Its space group is No. 123.

```
&SYSTEM
  ibrav = 0, nat = 4, ntyp = 3
/
ATOMIC_SPECIES
V 50.94 V.upf
Fe 55.84 Fe.upf
Co 58.93 Co.upf
CELL_PARAMETERS angstrom
2.695 0.000 0.000
0.000 2.695 0.000
0.000 0.000 6.482
ATOMIC_POSITIONS angstrom
V 0.000 0.000 1.573
V 0.000 0.000 4.909
Fe 1.348 1.348 0.000
Co 1.348 1.348 3.241
```


Entry 8:
Below is CdSbTe2Pb after structural relaxation, with properties calculated at the PBE level. Values from VASP.

Results
Its space group is No. 123. The calculation puts the polymorph energy (0 for the lowest one) at 1.28 eV per formula unit. The value obtained for the energy relative to the elements, uncorrected is 645 meV/atom.

```
&SYSTEM
  ibrav = 0, nat = 5, ntyp = 4
/
ATOMIC_SPECIES
Cd 112.41 Cd.upf
Sb 121.76 Sb.upf
Te 127.60 Te.upf
Pb 207.20 Pb.upf
CELL_PARAMETERS angstrom
5.866 0.000 0.000
0.000 5.866 0.000
0.000 0.000 5.909
ATOMIC_POSITIONS angstrom
Cd 0.000 0.000 0.000
Sb 2.933 2.933 0.000
Te 0.000 2.933 2.955
Te 2.933 0.000 2.955
Pb 2.933 2.933 2.955
```


Entry 9:
Below is CdS2N2 after structural relaxation, with properties calculated at the PBE level. Values from VASP.

Results
Its space group is No. 123. The calculation puts the polymorph energy (0 for the lowest one) at 0.00 eV per formula unit. The value obtained for the energy relative to the elements, uncorrected is 1222 meV/atom.

```
&SYSTEM
  ibrav = 0, nat = 5, ntyp = 3
/
ATOMIC_SPECIES
Cd 112.41 Cd.upf
S 32.06 S.upf
N 14.01 N.upf
CELL_PARAMETERS angstrom
3.531 0.000 0.000
0.000 3.531 0.000
0.000 0.000 7.403
ATOMIC_POSITIONS angstrom
Cd 0.000 0.000 0.000
S 1.765 1.765 0.000
S 1.765 1.765 3.702
N 0.000 1.765 3.702
N 1.765 0.000 3.702
```


Entry 10:
Below is CsThRhSe3 after structural relaxation, with properties calculated at the PBE level. Values from VASP.

Results
Its space group is No. 11. The value obtained for the energy relative to the elements, uncorrected is -1240 meV/atom.

```
&SYSTEM
  ibrav = 0, nat = 12, ntyp = 4
/
ATOMIC_SPECIES
Cs 132.91 Cs.upf
Th 232.04 Th.upf
Rh 102.91 Rh.upf
Se 78.96 Se.upf
CELL_PARAMETERS angstrom
9.807 0.000 0.000
0.000 4.244 0.000
-3.923 0.000 9.418
ATOMIC_POSITIONS angstrom
Cs 1.114 1.061 2.286
Cs 4.770 3.183 7.131
Th -0.224 3.183 7.850
Th 6.108 1.061 1.568
Rh -1.435 1.061 5.507
Rh 7.319 3.183 3.911
Se -2.165 1.061 8.031
Se -0.217 3.183 4.937
Se 4.016 3.183 1.422
Se 1.868 1.061 7.996
Se 6.101 1.061 4.481
Se 8.049 3.183 1.386
```


Entry 11:
Below is TaHg2Te after structural relaxation, with properties calculated at the PBE level. Values from VASP.

Results
Its space group is No. 99. The value obtained for the energy relative to the elements, uncorrected is 171 meV/atom.

```
&SYSTEM
  ibrav = 0, nat = 4, ntyp = 3
/
ATOMIC_SPECIES
Ta 180.95 Ta.upf
Hg 200.59 Hg.upf
Te 127.60 Te.upf
CELL_PARAMETERS angstrom
3.350 0.000 0.000
0.000 3.350 0.000
0.000 0.000 8.898
ATOMIC_POSITIONS angstrom
Ta 0.000 0.000 0.000
Hg 0.000 0.000 4.530
Hg 1.675 1.675 7.019
Te 1.675 1.675 1.584
```


Entry 12:
Below is DyTm2ScAs4 after structural relaxation, with properties calculated at the PBE level. Values from VASP.

Results
Its space group is No. 10.

```
&SYSTEM
  ibrav = 0, nat = 8, ntyp = 4
/
ATOMIC_SPECIES
Dy 162.50 Dy.upf
Tm 168.93 Tm.upf
Sc 44.96 Sc.upf
As 74.92 As.upf
CELL_PARAMETERS angstrom
6.985 0.000 0.000
0.000 4.038 0.000
-2.329 0.000 6.589
ATOMIC_POSITIONS angstrom
Dy 0.000 0.000 0.000
Tm -1.165 2.019 3.294
Tm 2.328 0.000 3.294
Sc 3.493 2.019 0.000
As 1.209 2.019 1.639
As 0.044 0.000 4.982
As 4.612 0.000 1.607
As 3.446 2.019 4.950
```


Number 1: size of the total moment 0.000 Bohr magnetons per cell, E -28.8 eV/cell. Number 2: size of the total moment 2.132 Bohr magnetons per cell, E -85.5 eV/cell. Number 3: size of the total moment 0.000 Bohr magnetons per cell, E -48.6 eV/cell. Number 4: size of the total moment 0.000 Bohr magnetons per cell, E -20.0 eV/cell. Number 5: size of the total moment 0.409 Bohr magnetons per cell, E -40.9 eV/cell. Number 6: size of the total moment 0.000 Bohr magnetons per cell, E -91.6 eV/cell. Number 7: size of the total moment 0.000 Bohr magnetons per cell, E -34.2 eV/cell. Number 8: size of the total moment 0.929 Bohr magnetons per cell, E -11.8 eV/cell. Number 9: size of the total moment 0.746 Bohr magnetons per cell, E -19.7 eV/cell. Number 10: size of the total moment 0.000 Bohr magnetons per cell, E -67.0 eV/cell. Number 11: size of the total moment 0.000 Bohr magnetons per cell, E -14.9 eV/cell. Number 12: size of the total moment 0.000 Bohr magnetons per cell, E -50.2 eV/cell.